Entry 1:
The following is a DFT calculation (GGA-PBE) of HgPPd4 after structural relaxation.

Cell lengths 5.4509, 5.6489, 7.2612 Å; angles 101.73, 111.94, 90.01 degrees
With the nearest neighbours (Å) after each atom.
Space group P-1 (No. 2)
Unique sites:
1 Hg 0.1150 0.2502 0.9999 (multiplicity 2)  8 Pd 2.86-2.99, 2 Hg 3.09
2 P 0.0000 0.5000 0.5000 (multiplicity 1)  6 Pd 2.27-2.30
3 P 0.5000 0.0000 0.5000 (multiplicity 1)  6 Pd 2.27-2.30
4 Pd 0.0786 0.1162 0.3672 (multiplicity 2)  2 P 2.29-2.30
5 Pd 0.2886 0.6165 0.3671 (multiplicity 2)  2 P 2.29-2.30
6 Pd 0.3272 0.5635 0.8147 (multiplicity 2)  1 P 2.27
7 Pd 0.4879 0.0632 0.8151 (multiplicity 2)  1 P 2.27

Calculated values
For the electronic total energy, the calculation gives -4.704 eV per atom. The value obtained for the formation energy is -0.2903 eV per atom. Its energy above the most stable polymorph in this dataset is 0 meV/atom. As for the density of states at the Fermi level: 0.390 states/eV per atom.

---

Entry 2:
The following is a DFT calculation (GGA-PBE) of HgPPd4 after structural relaxation.

Cell lengths 8.3765, 11.1009, 5.5778 Å; angles 90.00, 125.05, 90.00 degrees
With the nearest neighbours (Å) after each atom.
Space group C2/c (No. 15)
Unique sites:
1 Hg 0.0000 0.0884 0.2500 (multiplicity 4)  8 Pd 2.77-2.90
2 P 0.0000 0.3285 0.7500 (multiplicity 4)  6 Pd 2.30-2.40
3 Pd 0.1794 0.4858 0.7526 (multiplicity 8)  1 P 2.30
4 Pd 0.2378 0.2664 0.2354 (multiplicity 8)  2 P 2.36-2.40

Calculated values
For the electronic total energy, the calculation gives -4.658 eV per atom. The value obtained for the formation energy is -0.2442 eV per atom. Its energy above the most stable polymorph in this dataset is 46 meV/atom. As for the density of states at the Fermi level: 0.376 states/eV per atom.

---

Entry 3:
The following is a DFT calculation (GGA-PBE) of Hg2PPd8 after structural relaxation.

Cell lengths 6.6550, 13.1818, 4.9537 Å; angles 90.00, 123.28, 90.00 degrees
With the nearest neighbours (Å) after each atom.
Space group Cm (No. 8)
Unique sites:
1 Hg 0.0000 0.1948 0.0000 (multiplicity 4)  10 Pd 2.79-3.09
2 P 0.4801 0.0000 0.7500 (multiplicity 2)  6 Pd 2.27-2.29
3 Pd 0.0005 0.3060 0.5046 (multiplicity 4)  6 Pd 2.78-3.11, 4 Hg 2.85-2.90, 1 P 2.87
4 Pd 0.1757 0.1087 0.6430 (multiplicity 4)  1 P 2.29
5 Pd 0.1913 0.3904 0.1728 (multiplicity 4)  1 P 2.28
6 Pd 0.3071 0.0000 0.2077 (multiplicity 2)  1 P 2.27
7 Pd 0.3174 0.5000 0.7321 (multiplicity 2)  1 P 2.29

Calculated values
For the electronic total energy, the calculation gives -4.576 eV per atom. The value obtained for the formation energy is -0.2524 eV per atom. As for the density of states at the Fermi level: 0.328 states/eV per atom.

---

Entry 4:
The following is a DFT calculation (GGA-PBE) of HgP2Pd after structural relaxation.

Cell lengths 5.7444, 5.7444, 10.9372 Å; angles 90.00, 90.00, 90.00 degrees
With the nearest neighbours (Å) after each atom.
Space group I-42d (No. 122)
Unique sites:
1 Hg 0.0000 0.0000 0.0000 (multiplicity 4)  4 P 2.61
2 P 0.2046 0.2500 0.6250 (multiplicity 8)  2 Pd 2.30
3 Pd 0.0000 0.0000 0.5000 (multiplicity 4)  4 P 2.30

Calculated values
For the electronic total energy, the calculation gives -3.891 eV per atom. The value obtained for the formation energy is 0.1880 eV per atom. As for the density of states at the Fermi level: 0.537 states/eV per atom.

---

Entry 5:
The following is a DFT calculation (GGA-PBE) of Hg2P2Pd after structural relaxation.

Cell lengths 5.9263, 5.9263, 6.2234 Å; angles 90.00, 90.00, 90.00 degrees
With the nearest neighbours (Å) after each atom.
Space group P4/mbm (No. 127)
Unique sites:
1 Hg 0.1879 0.3121 0.0000 (multiplicity 4)  5 Hg 3.05-3.15, 2 P 3.15
2 P 0.1259 0.3741 0.5000 (multiplicity 4)  1 P 2.11, 2 Pd 2.34
3 Pd 0.0000 0.0000 0.5000 (multiplicity 2)  4 P 2.34

Calculated values
For the electronic total energy, the calculation gives -3.403 eV per atom. The value obtained for the formation energy is -0.0796 eV per atom. As for the density of states at the Fermi level: 0.241 states/eV per atom.

---

Entry 6:
The following is a DFT calculation (GGA-PBE) of HgPPd5 after structural relaxation.

Cell lengths 3.9810, 3.9810, 7.0965 Å; angles 90.00, 90.00, 90.00 degrees
With the nearest neighbours (Å) after each atom.
Space group P4/mmm (No. 123)
Unique sites:
1 Hg 0.0000 0.0000 0.0000 (multiplicity 1)  12 Pd 2.81-2.93
2 P 0.5000 0.5000 0.5000 (multiplicity 1)  8 Pd 2.43
3 Pd 0.0000 0.5000 0.3030 (multiplicity 4)  2 P 2.43
4 Pd 0.5000 0.5000 0.0000 (multiplicity 1)  4 Hg 2.81, 8 Pd 2.93

Calculated values
For the electronic total energy, the calculation gives -4.887 eV per atom. The value obtained for the formation energy is -0.3618 eV per atom. As for the density of states at the Fermi level: 0.261 states/eV per atom.

---

Entry 7:
The following is a DFT calculation (GGA-PBE) of Rb2HgPPd after structural relaxation.

Cell lengths 6.5900, 6.5900, 4.4575 Å; angles 90.00, 90.00, 90.00 degrees
With the nearest neighbours (Å) after each atom.
Space group P4/mmm (No. 123)
Unique sites:
1 Rb 0.0000 0.5000 0.0000 (multiplicity 2)  2 Pd 3.29
2 Hg 0.0000 0.0000 0.5000 (multiplicity 1)  8 Rb 3.98
3 P 0.5000 0.5000 0.5000 (multiplicity 1)  2 Pd 2.23
4 Pd 0.5000 0.5000 0.0000 (multiplicity 1)  2 P 2.23

Calculated values
For the electronic total energy, the calculation gives -2.809 eV per atom. The value obtained for the formation energy is -0.2408 eV per atom. Its energy above the most stable polymorph in this dataset is 7 meV/atom. As for the density of states at the Fermi level: 0.483 states/eV per atom.

---

Entry 8:
The following is a DFT calculation (GGA-PBE) of Rb2HgPPd after structural relaxation.

Cell lengths 6.6350, 6.6350, 4.4450 Å; angles 90.00, 90.00, 90.00 degrees
With the nearest neighbours (Å) after each atom.
Space group P4/mmm (No. 123)
Unique sites:
1 Rb 0.0000 0.5000 0.0000 (multiplicity 2)  2 P 3.32
2 Hg 0.0000 0.0000 0.5000 (multiplicity 1)  8 Rb 3.99, 2 Hg 4.45
3 P 0.5000 0.5000 0.0000 (multiplicity 1)  2 Pd 2.22
4 Pd 0.5000 0.5000 0.5000 (multiplicity 1)  2 P 2.22

Calculated values
For the electronic total energy, the calculation gives -2.816 eV per atom. The value obtained for the formation energy is -0.2479 eV per atom. Its energy above the most stable polymorph in this dataset is 0 meV/atom. As for the density of states at the Fermi level: 0.472 states/eV per atom.

---

Question: Among the records above, which one has the highest electronic total energy?
Answer: number 7

---

Question: Which value of electronic total energy does entry 1 give?
Answer: -4.704 eV per atom

---

Question: Among the records above, which one has the highest electronic total energy?
Answer: number 7

---

Question: The lowest electronic total energy belongs to which entry?
Answer: HgPPd5